## Mn2ReO2 (GGA+U)

Data for a relaxed Mn2ReO2 crystal.

Properties
electronic total energy	-6.16	eV per atom
N(E_F)	0.72	states/eV per atom

a = 6.593 Å, b = 6.593 Å, c = 2.592 Å
α = 90.00°, β = 90.00°, γ = 90.00°
Last column: magnetic moment on the atom in μB.
Sites, in units of the cell vectors:
O: 0.374 0.126 0.500  0.07
O: 0.626 0.874 0.500  0.07
O: 0.126 0.626 0.500  0.06
O: 0.874 0.374 0.500  0.06
Re: 0.500 0.500 0.000  0.86
Re: 0.000 0.000 0.000  0.87
Mn: 0.361 0.861 0.000  -0.94
Mn: 0.139 0.361 0.000  -0.97
Mn: 0.639 0.139 0.000  -0.94
Mn: 0.861 0.639 0.000  -0.97